A relaxed SrAlFe crystal. Source: the Alexandria database, functional PBE-GGA.

Cell: 4.7362 4.7362 4.7362 Å, 60.00 60.00 60.00°
Fractional positions:
Sr 0.0000 0.0000 0.0000
Al 0.5000 0.5000 0.5000
Fe 0.2500 0.2500 0.2500

M_tot: 2.13 Bohr magnetons per cell
DOS(E_F): 2.43 states/eV/atom
Formation energy from the elements: 0.5872 eV/atom


A relaxed Na2Cd6Hg crystal. Source: the Alexandria database, functional PBE-GGA.

Cell: 6.0523 6.0523 7.0185 Å, 95.66 95.66 63.50°
Fractional positions:
Na 0.1666 0.1666 0.3817
Na 0.8334 0.8334 0.6183
Cd 0.1381 0.6696 0.1524
Cd 0.3304 0.8619 0.8476
Cd 0.3361 0.3361 0.8034
Cd 0.6639 0.6639 0.1966
Cd 0.6696 0.1381 0.1524
Cd 0.8619 0.3304 0.8476
Hg 0.5000 0.5000 0.5000

M_tot: 0.00 Bohr magnetons per cell
DOS(E_F): 0.43 states/eV/atom
Formation energy from the elements: -0.0789 eV/atom


A relaxed ThU2TaC4 crystal. Source: the Alexandria database, functional PBE-GGA.

Cell: 5.9673 3.4373 6.1652 Å, 90.00 109.88 90.00°
Fractional positions:
Th 0.0000 0.0000 0.0000
U 0.5000 0.0000 0.5000
U 0.5000 0.5000 0.0000
Ta 0.0000 0.5000 0.5000
C 0.2433 0.0000 0.7245
C 0.2575 0.5000 0.2966
C 0.7425 0.5000 0.7034
C 0.7567 0.0000 0.2755

M_tot: 0.92 Bohr magnetons per cell
DOS(E_F): 0.94 states/eV/atom
Formation energy from the elements: -0.2523 eV/atom


A relaxed LiTi2ZnBi crystal. Source: the Alexandria database, functional PBE-GGA.

Cell: 4.5391 4.5391 4.6191 Å, 90.00 90.00 90.00°
Fractional positions:
Li 0.0000 0.0000 0.0000
Ti 0.0000 0.5000 0.0000
Ti 0.5000 0.0000 0.0000
Zn 0.5000 0.5000 0.5000
Bi 0.0000 0.0000 0.5000

M_tot: 0.00 Bohr magnetons per cell
DOS(E_F): 0.81 states/eV/atom
Formation energy from the elements: 0.6391 eV/atom


A relaxed Dy2Si4Pd3 crystal. Source: the Alexandria database, functional PBE-GGA.

Cell: 7.9525 7.9525 7.3040 Å, 90.00 90.00 138.58°
Fractional positions:
Dy 0.1050 0.8950 0.9061
Dy 0.3950 0.6050 0.4061
Dy 0.6050 0.3950 0.5939
Dy 0.8950 0.1050 0.0939
Si 0.1779 0.8221 0.5226
Si 0.1874 0.3126 0.7500
Si 0.3126 0.1874 0.2500
Si 0.3221 0.6779 0.0226
Si 0.6779 0.3221 0.9774
Si 0.6874 0.8126 0.7500
Si 0.8126 0.6874 0.2500
Si 0.8221 0.1779 0.4774
Pd 0.0000 0.0000 0.5000
Pd 0.0220 0.4780 0.7500
Pd 0.4780 0.0220 0.2500
Pd 0.5000 0.5000 0.0000
Pd 0.5220 0.9780 0.7500
Pd 0.9780 0.5220 0.2500

M_tot: 0.00 Bohr magnetons per cell
DOS(E_F): 0.42 states/eV/atom
Uncorrected formation energy: -0.797 eV/atom


A relaxed RbIn2BiPb crystal. Source: the Alexandria database, functional PBE-GGA.

Cell: 7.1698 7.1698 7.1698 Å, 135.53 135.53 64.71°
Fractional positions:
Rb 0.0000 0.0000 0.0000
In 0.3804 0.3804 0.0000
In 0.6196 0.6196 0.0000
Bi 0.2500 0.7500 0.5000
Pb 0.7500 0.2500 0.5000

M_tot: 0.00 Bohr magnetons per cell
DOS(E_F): 0.41 states/eV/atom
Formation energy from the elements: -0.1460 eV/atom
Energy above the most stable polymorph in this dataset: 0 meV/atom


A relaxed RuO3F2 crystal. Source: the Alexandria database, functional PBE-GGA.

Cell: 5.9567 5.9567 8.4466 Å, 112.35 112.35 54.46°
Fractional positions:
Ru 0.1664 0.8336 0.7500
Ru 0.8336 0.1664 0.2500
O 0.1478 0.8522 0.2500
O 0.2027 0.5524 0.7900
O 0.4476 0.7973 0.7100
O 0.5524 0.2027 0.2900
O 0.7973 0.4476 0.2100
O 0.8522 0.1478 0.7500
F 0.0440 0.7143 0.5038
F 0.2857 0.9560 0.9962
F 0.7143 0.0440 0.0038
F 0.9560 0.2857 0.4962

M_tot: 0.15 Bohr magnetons per cell
DOS(E_F): 0.00 states/eV/atom
Uncorrected formation energy: -0.852 eV/atom


A relaxed Nb2FeCoNi crystal. Source: the Alexandria database, functional PBE-GGA.

Cell: 4.4561 4.4561 4.2328 Å, 90.00 90.00 90.00°
Fractional positions:
Nb 0.0000 0.5000 0.0000
Nb 0.5000 0.0000 0.0000
Fe 0.0000 0.0000 0.5000
Co 0.5000 0.5000 0.0000
Ni 0.5000 0.5000 0.5000

M_tot: 0.01 Bohr magnetons per cell
DOS(E_F): 1.69 states/eV/atom
Formation energy from the elements: 1.0699 eV/atom


A relaxed Pr2Ni4Ge3Rh crystal. Source: the Alexandria database, functional PBE-GGA.

Cell: 4.1109 4.1109 10.0540 Å, 90.00 90.00 90.00°
Fractional positions:
Pr 0.0000 0.5000 0.2488
Pr 0.5000 0.0000 0.7512
Ni 0.0000 0.0000 0.5000
Ni 0.0000 0.5000 0.8611
Ni 0.5000 0.0000 0.1389
Ni 0.5000 0.5000 0.5000
Ge 0.0000 0.0000 0.0000
Ge 0.0000 0.5000 0.6231
Ge 0.5000 0.0000 0.3769
Rh 0.5000 0.5000 0.0000

M_tot: 0.00 Bohr magnetons per cell
DOS(E_F): 0.95 states/eV/atom
Formation energy from the elements: -0.5922 eV/atom


A relaxed Li3Sb2Pt3 crystal. Source: the Alexandria database, functional PBE-GGA.

Cell: 7.9098 7.9098 7.9098 Å, 33.10 33.10 33.10°
Fractional positions:
Li 0.0000 0.0000 0.0000
Li 0.1299 0.1299 0.1299
Li 0.5039 0.5039 0.5039
Sb 0.2551 0.2551 0.2551
Sb 0.7495 0.7495 0.7495
Pt 0.3827 0.3827 0.3827
Pt 0.6264 0.6264 0.6264
Pt 0.8705 0.8705 0.8705

M_tot: 0.00 Bohr magnetons per cell
DOS(E_F): 0.46 states/eV/atom
Uncorrected formation energy: -0.585 eV/atom


A relaxed AcNd2DyHo crystal. Source: the Alexandria database, functional PBE-GGA.

Cell: 6.4511 5.9201 9.8675 Å, 90.00 108.92 90.00°
Fractional positions:
Ac 0.1371 0.2500 0.1053
Ac 0.8629 0.7500 0.8947
Nd 0.2675 0.7500 0.7000
Nd 0.3392 0.2500 0.5034
Nd 0.6608 0.7500 0.4966
Nd 0.7325 0.2500 0.3000
Dy 0.0644 0.7500 0.3080
Dy 0.9356 0.2500 0.6920
Ho 0.4757 0.7500 0.1034
Ho 0.5243 0.2500 0.8966

M_tot: 0.00 Bohr magnetons per cell
DOS(E_F): 1.65 states/eV/atom
Formation energy from the elements: 0.0445 eV/atom


A relaxed LaPIrS2 crystal. Source: the Alexandria database, functional PBE-GGA.

Cell: 5.3548 5.3548 5.6107 Å, 90.00 90.00 90.00°
Fractional positions:
La 0.0000 0.0000 0.0000
P 0.0000 0.0000 0.5000
Ir 0.5000 0.5000 0.5000
S 0.0000 0.5000 0.0000
S 0.5000 0.0000 0.0000

M_tot: 4.04 Bohr magnetons per cell
DOS(E_F): 1.56 states/eV/atom
Uncorrected formation energy: 1.210 eV/atom
Energy above the most stable polymorph in this dataset: 1856 meV/atom